(1)
First-principles (GGA-PBE) data for a geometry-optimized K2HgTeO4 structure, as listed in the Alexandria database.

a b c (Å): 7.2232 7.2232 6.9157
angles (deg): 115.20 115.20 96.90
Closest atoms and distances in Å follow each position.
Fractional coordinates of all 16 atoms:
K  0.0000  0.0000  0.0000  2 O 2.61
K  0.0000  0.0000  0.5000  2 O 2.61
K  0.0000  0.5000  0.0000  6 O 2.65-2.74
K  0.5000  0.0000  0.5000  6 O 2.65-2.74
Hg  0.0000  0.5000  0.5000  2 O 2.14
Hg  0.5000  0.0000  0.0000  2 O 2.14
Te  0.5000  0.5000  0.0000  6 O 2.23-2.33
Te  0.5000  0.5000  0.5000  6 O 2.23-2.33
O  0.2579  0.6696  0.4909  1 Hg 2.14, 1 Te 2.25
O  0.2925  0.3048  0.0615  2 Te 2.23-2.33
O  0.3048  0.2925  0.5615  2 Te 2.23-2.33
O  0.3304  0.7421  0.0091  1 Hg 2.14, 1 Te 2.25
O  0.6696  0.2579  0.9909  1 Hg 2.14, 1 Te 2.25
O  0.6952  0.7075  0.4385  2 Te 2.23-2.33
O  0.7075  0.6952  0.9385  2 Te 2.23-2.33
O  0.7421  0.3304  0.5091  1 Hg 2.14, 1 Te 2.25

## Properties
V = 17.2 A^3/atom
raw formation energy = -0.970 eV per atom
SG = C2/c, No. 15

(2)
First-principles (GGA-PBE) data for a geometry-optimized K2TiRu structure, as listed in the Alexandria database.

a b c (Å): 5.4727 5.4727 5.4727
angles (deg): 60.00 60.00 60.00
Closest atoms and distances in Å follow each position.
Fractional coordinates of all 4 atoms:
K  0.2500  0.2500  0.2500  4 Ru 3.35, 4 Ti 3.35
K  0.7500  0.7500  0.7500  4 Ru 3.35, 4 Ti 3.35
Ti  0.0000  0.0000  0.0000  8 K 3.35
Ru  0.5000  0.5000  0.5000  8 K 3.35

## Properties
V = 29.0 A^3/atom
N(E_F) = 12.6 states/eV/f.u.
energy relative to the lowest polymorph listed for this composition = 835 meV/atom
SG = Fm-3m, No. 225

(3)
First-principles (GGA-PBE) data for a geometry-optimized TbSmSiNi structure, as listed in the Alexandria database.

a b c (Å): 4.0709 5.7070 5.7070
angles (deg): 41.81 90.00 90.00
Closest atoms and distances in Å follow each position.
Fractional coordinates of all 4 atoms:
Tb  0.0000  0.0000  0.0000  3 Si 2.97-3.17, 4 Ni 2.98
Sm  0.5000  0.7193  0.7193  4 Si 3.00, 3 Ni 3.02-3.10
Si  0.0000  0.2974  0.2974  2 Ni 2.47
Ni  0.5000  0.4289  0.4289  2 Si 2.47

## Properties
V = 22.1 A^3/atom
raw formation energy = -0.597 eV per atom
N(E_F) = 3.6 states/eV/f.u.
SG = Amm2, No. 38